## YTaCl2 (PBE)

Data for crystalline YTaCl2 at its relaxed geometry.

Unit cell a=3.203 b=3.203 c=9.306 alpha=90.00 beta=90.00 gamma=90.00
Sites, in units of the cell vectors:
Y1 0.000 0.000 0.000
Ta1 0.500 0.500 0.744
Cl1 0.000 0.000 0.586
Cl2 0.500 0.500 0.188

## Properties
formation energy (no corrections) = -754 meV/atom
space-group type = P4mm
VASP energy = -25.026 eV for the cell shown


## YTaCl2 (PBE)

Data for crystalline YTaCl2 at its relaxed geometry.

Unit cell a=9.145 b=9.145 c=9.145 alpha=151.26 beta=151.26 gamma=41.09
Sites, in units of the cell vectors:
Y1 0.000 0.000 0.000
Y2 0.750 0.250 0.500
Ta1 0.250 0.750 0.500
Ta2 0.500 0.500 0.000
Cl1 0.153 0.625 0.028
Cl2 0.375 0.403 0.528
Cl3 0.597 0.125 0.972
Cl4 0.875 0.847 0.472

## Properties
formation energy (no corrections) = -287 meV/atom
space-group type = I-42d
VASP energy = -46.315 eV for the cell shown


## Y2TaCl (PBE)

Data for crystalline Y2TaCl at its relaxed geometry.

Unit cell a=3.299 b=3.299 c=8.877 alpha=90.00 beta=90.00 gamma=98.46
Sites, in units of the cell vectors:
Y1 0.000 0.000 0.244
Y2 0.000 0.000 0.756
Ta1 0.500 0.500 0.000
Cl1 0.500 0.500 0.500

## Properties
formation energy (no corrections) = -384 meV/atom
space-group type = Cmmm
VASP energy = -28.163 eV for the cell shown


## YTaCl2 (PBE)

Data for crystalline YTaCl2 at its relaxed geometry.

Unit cell a=4.693 b=6.239 c=3.138 alpha=90.00 beta=90.00 gamma=90.00
Sites, in units of the cell vectors:
Y1 0.000 0.000 0.000
Ta1 0.000 0.500 0.521
Cl1 0.500 0.000 0.485
Cl2 0.500 0.500 0.532

## Properties
formation energy (no corrections) = -470 meV/atom
space-group type = Pmm2
VASP energy = -23.892 eV for the cell shown


## YTaCl2 (PBE)

Data for crystalline YTaCl2 at its relaxed geometry.

Unit cell a=4.961 b=4.961 c=4.961 alpha=125.54 beta=125.54 gamma=80.64
Sites, in units of the cell vectors:
Y1 0.000 0.000 0.000
Ta1 0.500 0.500 0.000
Cl1 0.250 0.750 0.500
Cl2 0.750 0.250 0.500

## Properties
formation energy (no corrections) = 73 meV/atom
space-group type = I4/mmm
VASP energy = -21.718 eV for the cell shown


## Y2TaCl (PBE)

Data for crystalline Y2TaCl at its relaxed geometry.

Unit cell a=3.298 b=3.298 c=8.839 alpha=90.00 beta=90.00 gamma=90.00
Sites, in units of the cell vectors:
Y1 0.000 0.000 0.242
Y2 0.000 0.000 0.758
Ta1 0.500 0.500 0.000
Cl1 0.500 0.500 0.500

## Properties
formation energy (no corrections) = -374 meV/atom
space-group type = P4/mmm
VASP energy = -28.123 eV for the cell shown


## YTa3Cl (PBE)

Data for crystalline YTa3Cl at its relaxed geometry.

Unit cell a=4.667 b=4.667 c=4.667 alpha=90.00 beta=90.00 gamma=90.00
Sites, in units of the cell vectors:
Y1 0.000 0.000 0.000
Ta1 0.000 0.500 0.500
Ta2 0.500 0.000 0.500
Ta3 0.500 0.500 0.000
Cl1 0.500 0.500 0.500

## Properties
formation energy (no corrections) = 615 meV/atom
space-group type = Pm-3m
VASP energy = -40.792 eV for the cell shown


## Y2TaCl (PBE)

Data for crystalline Y2TaCl at its relaxed geometry.

Unit cell a=3.388 b=3.365 c=8.868 alpha=90.00 beta=90.09 gamma=90.00
Sites, in units of the cell vectors:
Y1 0.001 0.000 0.235
Y2 0.999 0.000 0.765
Ta1 0.500 0.500 0.000
Cl1 0.000 0.500 0.500

## Properties
formation energy (no corrections) = -445 meV/atom
space-group type = P2/m
VASP energy = -28.406 eV for the cell shown


## Y2TaCl (PBE)

Data for crystalline Y2TaCl at its relaxed geometry.

Unit cell a=9.552 b=9.552 c=9.552 alpha=20.66 beta=20.66 gamma=20.66
Sites, in units of the cell vectors:
Y1 0.247 0.247 0.247
Y2 0.753 0.753 0.753
Ta1 0.000 0.000 0.000
Cl1 0.500 0.500 0.500

## Properties
formation energy (no corrections) = -388 meV/atom
space-group type = R-3m
VASP energy = -28.178 eV for the cell shown


## YTaCl2 (PBE)

Data for crystalline YTaCl2 at its relaxed geometry.

Unit cell a=3.229 b=4.322 c=5.912 alpha=90.00 beta=97.95 gamma=90.00
Sites, in units of the cell vectors:
Y1 0.000 0.000 0.000
Ta1 0.500 0.000 0.500
Cl1 0.413 0.500 0.257
Cl2 0.587 0.500 0.743

## Properties
formation energy (no corrections) = -411 meV/atom
space-group type = P2/m
VASP energy = -23.653 eV for the cell shown


## YTaCl2 (PBE)

Data for crystalline YTaCl2 at its relaxed geometry.

Unit cell a=5.154 b=5.154 c=5.154 alpha=60.00 beta=60.00 gamma=60.00
Sites, in units of the cell vectors:
Y1 0.000 0.000 0.000
Ta1 0.750 0.750 0.750
Cl1 0.250 0.250 0.250
Cl2 0.500 0.500 0.500

## Properties
formation energy (no corrections) = 354 meV/atom
space-group type = F-43m
VASP energy = -20.595 eV for the cell shown


## Y2TaCl (PBE)

Data for crystalline Y2TaCl at its relaxed geometry.

Unit cell a=6.036 b=6.036 c=6.036 alpha=147.98 beta=117.15 gamma=72.29
Sites, in units of the cell vectors:
Y1 0.226 0.226 0.000
Y2 0.774 0.774 0.000
Ta1 0.500 0.000 0.500
Cl1 0.000 0.500 0.500

## Properties
formation energy (no corrections) = 145 meV/atom
space-group type = Immm
VASP energy = -26.048 eV for the cell shown